(1)
Compound: Ba2EuPt
Source: Alexandria via LeMat-Bulk
Functional: PBE
Structure: relaxed Values from VASP.

Summary:
ΔE_f (meV/atom): -297

The structure in Quantum ESPRESSO input format:
```
&SYSTEM
  ibrav = 0, nat = 4, ntyp = 3
/
ATOMIC_SPECIES
Eu 151.96 Eu.upf
Pt 195.08 Pt.upf
Ba 137.33 Ba.upf
CELL_PARAMETERS angstrom
-1.119 -0.030 4.263
3.102 -0.513 3.089
2.138 11.579 2.920
ATOMIC_POSITIONS crystal
Eu 0.000 0.000 0.000
Pt 0.500 0.500 0.500
Ba 0.884 0.884 0.348
Ba 0.116 0.116 0.652
```



(2)
Compound: Ba4Eu2Pt
Source: Alexandria via LeMat-Bulk
Functional: PBE
Structure: relaxed Values from VASP.

Summary:
ΔE_f (meV/atom): -98

The structure in Quantum ESPRESSO input format:
```
&SYSTEM
  ibrav = 0, nat = 7, ntyp = 3
/
ATOMIC_SPECIES
Ba 137.33 Ba.upf
Eu 151.96 Eu.upf
Pt 195.08 Pt.upf
CELL_PARAMETERS angstrom
-1.207 -4.945 3.521
3.672 2.264 4.439
-9.398 6.331 0.229
ATOMIC_POSITIONS crystal
Ba 0.849 0.849 0.698
Ba 0.151 0.151 0.302
Ba 0.500 0.000 0.000
Ba 0.000 0.500 0.000
Eu 0.350 0.350 0.699
Eu 0.650 0.650 0.301
Pt 0.000 0.000 0.000
```



(3)
Compound: BaEuPt2
Source: Alexandria via LeMat-Bulk
Functional: PBE
Structure: relaxed Values from VASP.

Summary:
Energy relative to the lowest polymorph listed for this composition (eV per atom): 0.000
ΔE_f (meV/atom): -771

The structure in Quantum ESPRESSO input format:
```
&SYSTEM
  ibrav = 0, nat = 4, ntyp = 3
/
ATOMIC_SPECIES
Ba 137.33 Ba.upf
Pt 195.08 Pt.upf
Eu 151.96 Eu.upf
CELL_PARAMETERS angstrom
-0.235 -3.708 0.367
3.724 -0.245 -0.096
0.240 0.721 7.434
ATOMIC_POSITIONS crystal
Ba 0.500 0.500 0.500
Pt 0.000 0.000 0.788
Pt 0.000 0.000 0.212
Eu 0.500 0.500 0.000
```



(4)
Compound: BaEuPt2
Source: Alexandria via LeMat-Bulk
Functional: PBE
Structure: relaxed Values from VASP.

Summary:
Energy relative to the lowest polymorph listed for this composition (eV per atom): 0.055
ΔE_f (meV/atom): -716

The structure in Quantum ESPRESSO input format:
```
&SYSTEM
  ibrav = 0, nat = 4, ntyp = 3
/
ATOMIC_SPECIES
Pt 195.08 Pt.upf
Eu 151.96 Eu.upf
Ba 137.33 Ba.upf
CELL_PARAMETERS angstrom
4.920 0.000 0.000
2.460 4.261 0.000
2.460 1.420 5.343
ATOMIC_POSITIONS crystal
Pt 0.719 0.719 0.843
Pt 0.281 0.281 0.157
Eu 0.000 0.000 0.000
Ba 0.500 0.500 0.500
```



Electronic total energy list, top to bottom, in eV/atom: -5.337, -4.995, -6.841, -6.786